(1)
PBE-GGA FeCo2W2, relaxed; M_tot = 5.5 μB per cell; symmetry = P4/mbm (127); E_form = 1.94 eV per formula unit; polymorph energy (0 for the lowest one) = 145.2 meV per atom; DFT total energy = -93.3 eV for the cell shown
1.0
7.231 0.000 0.000
0.000 7.231 0.000
0.000 0.000 2.655
W Fe Co
4 2 4
direct
0.336 0.836 0.000
0.664 0.164 0.000
0.164 0.336 0.000
0.836 0.664 0.000
0.500 0.500 0.000
0.000 0.000 0.000
0.629 0.871 0.500
0.871 0.371 0.500
0.371 0.129 0.500
0.129 0.629 0.500

=====

(2)
PBE-GGA FeCo2W2, relaxed; M_tot = 0.6 μB per cell; symmetry = P4/mbm (127); E_form = 1.21 eV per formula unit; polymorph energy (0 for the lowest one) = 0.0 meV per atom; DFT total energy = -94.7 eV for the cell shown
1.0
-5.583 2.801 -1.947
-1.722 -5.538 -3.029
-1.365 -0.960 2.532
Co W Fe
4 4 2
direct
0.874 0.626 0.000
0.126 0.374 0.000
0.626 0.126 0.000
0.374 0.874 0.000
0.822 0.322 0.500
0.678 0.822 0.500
0.322 0.178 0.500
0.178 0.678 0.500
0.000 0.000 0.000
0.500 0.500 0.000

=====

(3)
PBE-GGA Fe2Co2W, relaxed; M_tot = 9.1 μB per cell; symmetry = P4/mbm (127); E_form = 0.99 eV per formula unit; polymorph energy (0 for the lowest one) = 0.0 meV per atom; DFT total energy = -86.2 eV for the cell shown
1.0
-5.724 3.569 0.352
-2.626 -4.623 4.167
0.938 1.303 2.036
Co W Fe
4 2 4
direct
0.173 0.673 0.500
0.673 0.827 0.500
0.327 0.173 0.500
0.827 0.327 0.500
0.500 0.500 0.000
0.000 0.000 0.000
0.122 0.378 0.000
0.878 0.622 0.000
0.378 0.878 0.000
0.622 0.122 0.000